# 1
An optimized crystal structure of SrTaHg. Source: OQMD via LeMat-Bulk, functional GGA-PBE.

The structure belongs to space group F-43m (No. 216); the cell edges are 7.103, 7.103 and 7.103 Å and the angles 90.00°, 90.00° and 90.00°. The inequivalent atoms are Sr at (0.000, 0.000, 0.000), Ta at (0.000, 0.000, 0.500) and Hg at (0.250, 0.250, 0.250).

***

# 2
An optimized crystal structure of Lu2Fe3B4Ir2. Source: OQMD via LeMat-Bulk, functional GGA-PBE.

The structure belongs to space group Fmmm (No. 69); the cell edges are 5.302, 9.058 and 11.357 Å and the angles 90.00°, 90.00° and 90.00°. The inequivalent atoms are Lu at (0.000, 0.000, 0.135), Fe at (0.000, 0.000, 0.500), Fe at (0.250, 0.250, 0.000), B at (0.000, 0.155, 0.376) and Ir at (0.250, 0.250, 0.250).

***

# 3
An optimized crystal structure of KDyAs. Source: OQMD via LeMat-Bulk, functional GGA-PBE.

The structure belongs to space group F-43m (No. 216); the cell edges are 7.132, 7.132 and 7.132 Å and the angles 90.00°, 90.00° and 90.00°. The inequivalent atoms are K at (0.000, 0.000, 0.000), Dy at (0.000, 0.000, 0.500) and As at (0.250, 0.250, 0.750).

***

no.,total energy (eV per atom),mass density (Mg/m³),spin magnetization (μB per atom)
1,-3.57,8.69,0.73
2,-7.66,11.51,0.18
3,-3.83,5.06,0.00